# 1
# La2Pr4Ho2Tm

An optimized crystal structure of La2Pr4Ho2Tm (PBE, Alexandria via LeMat-Bulk).

Computed properties:
formation energy	0.03	eV per atom
volume	312	Å³/cell

Unit cell a=5.1995 b=8.2134 c=8.1264 alpha=107.66 beta=90.00 gamma=108.45
Last column: nearest neighbours and their distance in Å.
Element x y z (fractional)
Pr 0.7797 0.5595 0.6720  1 Tm 3.61, 3 Ho 3.62-3.64, 5 Pr 3.66-3.71, 3 La 3.70-3.71
Pr 0.4445 0.8889 0.6703  2 Ho 3.62-3.64, 2 Tm 3.63, 4 Pr 3.66-3.70, 4 La 3.67-3.70
Tm 0.0000 0.0000 0.0000  2 La 3.61, 6 Pr 3.61-3.63, 4 Ho 3.67
Ho 0.6663 0.3326 0.0004  5 Pr 3.62-3.64, 3 La 3.62-3.63, 2 Tm 3.67, 2 Ho 3.68
Pr 0.2203 0.4405 0.3280  1 Tm 3.61, 3 Ho 3.62-3.64, 5 Pr 3.66-3.71, 3 La 3.70-3.71
Pr 0.5555 0.1111 0.3297  2 Ho 3.62-3.64, 2 Tm 3.63, 4 Pr 3.66-3.70, 4 La 3.67-3.70
La 0.1111 0.2222 0.6724  1 Tm 3.61, 3 Ho 3.62-3.63, 7 Pr 3.67-3.71, 1 La 3.69
Ho 0.3337 0.6674 0.9996  5 Pr 3.62-3.64, 3 La 3.62-3.63, 2 Tm 3.67, 2 Ho 3.68
La 0.8889 0.7778 0.3276  1 Tm 3.61, 3 Ho 3.62-3.63, 7 Pr 3.67-3.71, 1 La 3.69

# 2
# Ho7ErTm12

An optimized crystal structure of Ho7ErTm12 (PBE, Alexandria via LeMat-Bulk).

Computed properties:
formation energy	0.75	eV per atom
volume	683	Å³/cell

Unit cell a=9.6097 b=9.6097 c=9.6097 alpha=109.47 beta=109.47 gamma=109.47
Last column: nearest neighbours and their distance in Å.
Element x y z (fractional)
Tm 0.2495 0.7511 0.0005  2 Ho 2.77
Ho 0.5000 0.5000 0.0000  12 Tm 3.92-3.94
Tm 0.2489 0.4984 0.2495  2 Ho 2.77
Tm 0.5016 0.7505 0.7511  2 Ho 2.77
Ho 0.5000 0.5000 0.5000  6 Tm 2.77
Tm 0.0005 0.2495 0.7511  2 Ho 2.77
Tm 0.4984 0.2495 0.2489  2 Ho 2.77
Tm 0.9995 0.7505 0.2489  2 Ho 2.77
Ho 0.0000 0.5000 0.0000  6 Tm 2.77
Er 0.0000 0.0000 0.0000  12 Tm 3.91
Tm 0.7511 0.0005 0.2495  2 Ho 2.77
Tm 0.2489 0.9995 0.7505  2 Ho 2.77
Ho 0.5000 0.0000 0.0000  6 Tm 2.77
Tm 0.2495 0.2489 0.4984  2 Ho 2.77
Tm 0.7505 0.2489 0.9995  2 Ho 2.77
Ho 0.5000 0.0000 0.5000  12 Tm 3.92-3.94
Tm 0.7511 0.5016 0.7505  2 Ho 2.77
Tm 0.7505 0.7511 0.5016  2 Ho 2.77
Ho 0.0000 0.5000 0.5000  12 Tm 3.92-3.94
Ho 0.0000 0.0000 0.5000  6 Tm 2.77

# 3
# TmPaP

An optimized crystal structure of TmPaP (PBE, Alexandria via LeMat-Bulk).

Computed properties:
formation energy	-0.56	eV per atom
volume	69	Å³/cell

Unit cell a=3.4470 b=3.4470 c=6.3356 alpha=105.79 beta=105.79 gamma=90.00
Last column: nearest neighbours and their distance in Å.
Element x y z (fractional)
P 0.6636 0.6636 0.3272  4 Pa 2.88, 4 Tm 2.94
Pa 0.0322 0.0322 0.0645  4 P 2.88, 1 Tm 3.18
Tm 0.3042 0.3042 0.6084  4 P 2.94, 1 Pa 3.18

# 4
# Ta3Al2

An optimized crystal structure of Ta3Al2 (PBE, Alexandria via LeMat-Bulk).

Computed properties:
formation energy	-0.07	eV per atom
volume	174	Å³/cell

Unit cell a=8.4190 b=7.3433 c=5.5180 alpha=80.41 beta=59.32 gamma=40.26
Last column: nearest neighbours and their distance in Å.
Element x y z (fractional)
Ta 0.9062 0.8026 0.5054  6 Al 2.78-3.04, 5 Ta 2.82-3.05
Al 0.3517 0.0486 0.7066  9 Ta 2.77-3.04, 2 Al 2.99
Ta 0.7858 0.5054 0.8026  6 Al 2.78-3.04, 5 Ta 2.82-3.05
Ta 0.4474 0.3438 0.4642  6 Al 2.78-3.04, 5 Ta 2.82-3.05
Ta 0.0631 0.9369 0.9369  6 Al 2.77-2.97, 4 Ta 2.85-3.05
Al 0.8932 0.7066 0.0486  9 Ta 2.77-3.04, 2 Al 2.99
Al 0.2014 0.8983 0.3568  9 Ta 2.77-3.04, 2 Al 2.99
Ta 0.3131 0.1869 0.1869  6 Al 2.77-2.97, 4 Ta 2.85-3.05
Al 0.5434 0.3568 0.8983  9 Ta 2.77-3.04, 2 Al 2.99
Ta 0.7446 0.4642 0.3438  6 Al 2.78-3.04, 5 Ta 2.82-3.05